The following is a DFT calculation (PBEsol) of an optimized crystal structure of Cu2MoBr.

Crystal system   trigonal
Uncorrected formation energy   0.535 eV/atom

a = 8.633 Å, b = 8.633 Å, c = 8.633 Å
α = 19.19°, β = 19.19°, γ = 19.19°
Element x y z (fractional)
Cu  0.248  0.248  0.248
Cu  0.752  0.752  0.752
Mo  0.500  0.500  0.500
Br  0.000  0.000  0.000